Computed, not measured: crystalline LiMgCoPb at its relaxed geometry at the PBE-GGA level of DFT.

a = 4.5372 Å, b = 4.5372 Å, c = 4.5372 Å
α = 60.00°, β = 60.00°, γ = 60.00°
Closest atoms and distances in Å follow each position.
Element x y z (fractional)
Co 0.5000 0.5000 0.5000  4 Mg 2.78, 4 Pb 2.78
Li 0.0000 0.0000 0.0000  4 Pb 2.78, 4 Mg 2.78
Pb 0.7500 0.7500 0.7500  4 Li 2.78, 4 Co 2.78
Mg 0.2500 0.2500 0.2500  4 Li 2.78, 4 Co 2.78

Output
* M_tot: 0.36 μB/f.u.
* calculated total energy: -3.58 eV per atom
* calculated formation energy: 0.000 eV/atom
* crystal system: cubic
* V: 66 Å³ per cell